{"formula": "Mg2SbSe", "functional": "GGA-PBE", "state": "optimized geometry", "cell": [[0.000, 3.566, 3.566], [3.566, 0.000, 3.566], [3.566, 3.566, 0.000]], "species": ["Mg", "Mg", "Sb", "Se"], "fractional_positions": [[0.250, 0.250, 0.250], [0.750, 0.750, 0.750], [0.000, 0.000, 0.000], [0.500, 0.500, 0.500]], "e_tot_ev_per_atom": -2.97, "polymorph_energy_mev_per_atom": 443, "rho_g_cm3": 4.57, "sg": "Fm-3m, No. 225", "e_form_raw_ev_per_atom": -0.266}